DFT (PBE-GGA) results for a geometry-optimized CdRe2SeS structure.

Summary:
energy: -5.03 eV/atom
magnetization: 4.02 μB per cell
ΔE_f (raw): 1.658 eV/atom

a b c (Å): 4.650 4.650 5.050
angles (deg): 90.00 90.00 90.00
Atoms (fractional coordinates):
Cd 0.000 0.000 0.000
Re 0.000 0.500 0.500
Re 0.500 0.000 0.500
Se 0.500 0.500 0.500
S 0.500 0.500 0.000